The following is a PBEsol calculation of crystalline BaMnN2O at its relaxed geometry, from the Alexandria database. Values from VASP.

## Properties
As for the crystal system: tetragonal. Its density of states at the Fermi level is 3.71 states/eV/f.u. Its formation energy from raw total energies is -0.69 eV/atom.

Geometry as Quantum ESPRESSO input:
```
&SYSTEM
  ibrav = 0, nat = 5, ntyp = 4
/
ATOMIC_SPECIES
Ba 137.33 Ba.upf
Mn 54.94 Mn.upf
N 14.01 N.upf
O 16.00 O.upf
CELL_PARAMETERS angstrom
3.704 0.000 0.000
0.000 3.704 0.000
0.000 0.000 4.320
ATOMIC_POSITIONS angstrom
Ba 0.000 0.000 0.000
Mn 1.852 1.852 2.160
N 0.000 1.852 2.160
N 1.852 0.000 2.160
O 1.852 1.852 0.000
```